1.
Entry from the Alexandria database: a relaxed structure of SrAsPdO5 (PBE).

a = 6.0112 Å, b = 6.0112 Å, c = 6.9441 Å
α = 98.34°, β = 98.34°, γ = 104.03°
Each line ends with the local moment (μB).
Sites, in units of the cell vectors:
1 O 0.0871 0.9129 0.2500  0.02
2 O 0.9586 0.3161 0.1364  0.01
3 O 0.9129 0.0871 0.7500  0.02
4 O 0.5196 0.7309 0.9302  0.03
5 O 0.7309 0.5196 0.4302  0.03
6 O 0.6839 0.0414 0.3636  0.01
7 O 0.3161 0.9586 0.6364  0.01
8 O 0.2691 0.4804 0.5698  0.03
9 O 0.4804 0.2691 0.0698  0.03
10 O 0.0414 0.6839 0.8636  0.01
11 Pd 0.0000 0.0000 0.5000  0.15
12 Pd 0.0000 0.0000 0.0000  0.15
13 As 0.7135 0.2865 0.2500  0.00
14 As 0.2865 0.7135 0.7500  0.00
15 Sr 0.3615 0.6385 0.2500  0.00
16 Sr 0.6385 0.3615 0.7500  0.00

Results
ΔE_f (raw), eV/f.u.: -11.9
Theoretical density, g/cm3: 4.899

2.
Entry from the Alexandria database: a relaxed structure of Sr2Li2SnPd5 (PBE).

a = 3.9006 Å, b = 9.7968 Å, c = 9.7968 Å
α = 90.00°, β = 90.00°, γ = 90.00°
Sites, in units of the cell vectors:
1 Pd 0.5000 0.2097 0.0617
2 Pd 0.5000 0.4383 0.2903
3 Pd 0.5000 0.7097 0.4383
4 Pd 0.5000 0.5617 0.7097
5 Pd 0.5000 0.2903 0.5617
6 Pd 0.5000 0.9383 0.2097
7 Pd 0.5000 0.0000 0.5000
8 Pd 0.5000 0.5000 0.0000
9 Pd 0.5000 0.0617 0.7903
10 Pd 0.5000 0.7903 0.9383
11 Sr 0.0000 0.1801 0.3199
12 Sr 0.0000 0.3199 0.8199
13 Sr 0.0000 0.6801 0.1801
14 Sr 0.0000 0.8199 0.6801
15 Li 0.0000 0.6187 0.8813
16 Li 0.0000 0.3813 0.1187
17 Li 0.0000 0.1187 0.6187
18 Li 0.0000 0.8813 0.3813
19 Sn 0.0000 0.0000 0.0000
20 Sn 0.0000 0.5000 0.5000

Results
Calculated total energy, eV per atom: -4.270
Theoretical density, g/cm3: 7.451

3.
Entry from the Alexandria database: a relaxed structure of SbIrBr2 (PBE).

a = 12.8588 Å, b = 12.8588 Å, c = 12.8588 Å
α = 13.89°, β = 13.89°, γ = 13.89°
Sites, in units of the cell vectors:
1 Br 0.0619 0.0619 0.0619
2 Br 0.9381 0.9381 0.9381
3 Ir 0.0000 0.0000 0.0000
4 Sb 0.5000 0.5000 0.5000

Results
ΔE_f (raw), eV/f.u.: 2.0
ΔE to the lowest computed polymorph, eV per atom: 0.796
Theoretical density, g/cm3: 7.374

4.
Entry from the Alexandria database: a relaxed structure of LaEu2 (PBE).

a = 7.0410 Å, b = 7.0410 Å, c = 7.0410 Å
α = 60.00°, β = 60.00°, γ = 60.00°
Each line ends with the local moment (μB).
Sites, in units of the cell vectors:
1 La 0.2500 0.2500 0.2500  0.28
2 La 0.0000 0.0000 0.0000  0.28
3 Eu 0.1250 0.6250 0.6250  7.08
4 Eu 0.6250 0.6250 0.1250  7.08
5 Eu 0.6250 0.1250 0.6250  7.08
6 Eu 0.6250 0.6250 0.6250  7.08

Results
ΔE to the lowest computed polymorph, eV per atom: 0.183
Theoretical density, g/cm3: 5.958